## A
The following is a DFT calculation (PBE-GGA) of a geometry-optimized Cd2ReRu structure.

Summary:
* calculated density: 12.45 g/cm³

```
Cd2ReRu
1.0
-0.1225 1.9800 1.9444
-1.4896 -2.2476 0.6678
7.6641 -3.7894 4.3417
Cd Re Ru
2 1 1
direct
0.0000 0.0000 0.5052
0.0000 0.0000 0.9948
0.5000 0.5000 0.2500
0.5000 0.5000 0.7500
```

## B
The following is a DFT calculation (PBE-GGA) of a geometry-optimized Cd2ReRu structure.

Summary:
* calculated density: 12.58 g/cm³

```
Cd2ReRu
1.0
9.7140 -0.0060 -0.0035
9.2961 2.8188 -0.0035
9.2961 1.3754 2.4604
Cd Re Ru
2 1 1
direct
0.4984 0.4984 0.4984
0.0016 0.0016 0.0016
0.2500 0.2500 0.2500
0.7500 0.7500 0.7500
```

## C
The following is a DFT calculation (PBE-GGA) of a geometry-optimized Cd2ReRu structure.

Summary:
* calculated density: 12.60 g/cm³

```
Cd2ReRu
1.0
4.7458 -0.0067 0.0000
0.8449 4.6700 0.0000
-2.7953 -2.3316 3.0450
Cd Ru Re
2 1 1
direct
0.0000 0.0000 0.0000
0.2500 0.7500 0.5000
0.7500 0.2500 0.5000
0.5000 0.5000 0.0000
```

## D
The following is a DFT calculation (PBE-GGA) of a geometry-optimized Cd2ReRu structure.

Summary:
* calculated density: 12.50 g/cm³

```
Cd2ReRu
1.0
-0.6357 -0.6403 4.7130
-1.2424 -2.4553 -0.5011
4.2027 -2.9053 0.1722
Cd Ru Re
2 1 1
direct
0.0000 0.9837 0.9974
0.0000 0.5163 0.5026
0.5000 0.7500 0.7500
0.5000 0.2500 0.2500
```

Tell me which of them is the most stable. Sure, it is B.